Arrangement one

Computed, not measured: a relaxed Ti2MoH2 crystal at the PBE-GGA level of DFT.

a = 3.212 Å, b = 3.212 Å, c = 5.624 Å
α = 73.41°, β = 73.41°, γ = 90.00°
Positions (direct):
H (0.250, 0.750, 0.500)
H (0.750, 0.250, 0.500)
Mo (0.000, 0.000, 0.000)
Ti (0.647, 0.647, 0.706)
Ti (0.353, 0.353, 0.294)

Values from the calculation:
As for the density: 6.061 g/cm³. The crystal system is tetragonal.

---

Arrangement two

Computed, not measured: a relaxed Ti2MoH2 crystal at the PBE-GGA level of DFT.

a = 3.088 Å, b = 3.088 Å, c = 5.941 Å
α = 90.00°, β = 90.00°, γ = 90.00°
Positions (direct):
Mo (0.000, 0.000, 0.000)
H (0.500, 0.000, 0.500)
H (0.000, 0.500, 0.500)
Ti (0.500, 0.500, 0.264)
Ti (0.500, 0.500, 0.736)

Values from the calculation:
As for the density: 5.678 g/cm³. The crystal system is tetragonal.

---

Relative to the most stable one, in kJ/mol of atoms, the structures come out at arrangement one 0.0; arrangement two 21.8.